Entry 1:
La2CuAsS5 | PBE | optimized geometry

a = 4.063 Å, b = 17.366 Å, c = 11.395 Å
α = 90.00°, β = 90.00°, γ = 90.00°
Space group Cmc2_1 (No. 36)
Unique sites:
La (0.000, 0.116, 0.000) (multiplicity 4)
La (0.000, 0.122, 0.623) (multiplicity 4)
Cu (0.000, 0.247, 0.425) (multiplicity 4)
As (0.000, 0.409, 0.791) (multiplicity 4)
S (0.000, 0.037, 0.382) (multiplicity 4)
S (0.000, 0.302, 0.637) (multiplicity 4)
S (0.000, 0.309, 0.964) (multiplicity 4)
S (0.000, 0.356, 0.315) (multiplicity 4)
S (0.000, 0.492, 0.611) (multiplicity 4)

Values from the calculation:
The raw formation energy is -1082 kJ/mol of formula units. For the raw total energy, the calculation gives -5.606 eV/atom. The value obtained for the magnetization is 0.000 μB per formula unit.

Entry 2:
LaCuAsS | PBE | optimized geometry

a = 4.519 Å, b = 4.519 Å, c = 8.543 Å
α = 90.00°, β = 90.00°, γ = 90.00°
Space group P4/nmm (No. 129, origin choice 2)
Unique sites:
La (0.250, 0.250, 0.190) (multiplicity 2)
Cu (0.250, 0.750, 0.500) (multiplicity 2)
As (0.250, 0.250, 0.633) (multiplicity 2)
S (0.250, 0.750, 0.000) (multiplicity 2)

Values from the calculation:
The raw formation energy is -395 kJ/mol of formula units. For the raw total energy, the calculation gives -5.474 eV/atom. The value obtained for the magnetization is 0.000 μB per formula unit. For the density of states at the Fermi level, the calculation gives 0.602 states/eV per atom.

Entry 3:
LaCuAsSe2 | PBE | optimized geometry

a = 4.923 Å, b = 4.923 Å, c = 4.681 Å
α = 90.00°, β = 90.00°, γ = 90.00°
Space group P4/mmm (No. 123)
Unique sites:
La (0.000, 0.000, 0.000) (multiplicity 1)
Cu (0.500, 0.500, 0.500) (multiplicity 1)
As (0.500, 0.500, 0.000) (multiplicity 1)
Se (0.000, 0.500, 0.500) (multiplicity 2)

Values from the calculation:
The raw formation energy is -300 kJ/mol of formula units. For the raw total energy, the calculation gives -4.751 eV/atom. The value obtained for the magnetization is 0.001 μB per formula unit. For the density of states at the Fermi level, the calculation gives 0.626 states/eV per atom.

Entry 4:
LaCuAs2Se | PBE | optimized geometry

a = 5.749 Å, b = 5.749 Å, c = 5.670 Å
α = 90.00°, β = 90.00°, γ = 90.00°
Space group P4/mmm (No. 123)
Unique sites:
La (0.000, 0.000, 0.000) (multiplicity 1)
Cu (0.500, 0.500, 0.500) (multiplicity 1)
As (0.000, 0.500, 0.000) (multiplicity 2)
Se (0.000, 0.000, 0.500) (multiplicity 1)

Values from the calculation:
The raw formation energy is 340 kJ/mol of formula units. For the raw total energy, the calculation gives -3.658 eV/atom. The value obtained for the magnetization is 0.961 μB per formula unit. The energy above the lowest structure with this stoichiometry comes out at 1167.1 meV/atom. For the density of states at the Fermi level, the calculation gives 1.028 states/eV per atom.

Entry 5:
LaCuAs2Se | PBE | optimized geometry

a = 4.723 Å, b = 4.723 Å, c = 5.014 Å
α = 90.00°, β = 90.00°, γ = 90.00°
Space group P4/mmm (No. 123)
Unique sites:
La (0.000, 0.000, 0.000) (multiplicity 1)
Cu (0.500, 0.500, 0.500) (multiplicity 1)
As (0.000, 0.500, 0.500) (multiplicity 2)
Se (0.500, 0.500, 0.000) (multiplicity 1)

Values from the calculation:
The raw formation energy is -224 kJ/mol of formula units. For the raw total energy, the calculation gives -4.825 eV/atom. The value obtained for the magnetization is 0.000 μB per formula unit. The energy above the lowest structure with this stoichiometry comes out at 0.0 meV/atom. For the density of states at the Fermi level, the calculation gives 0.586 states/eV per atom.

Entry 6:
Li2CuAs | PBE | optimized geometry

a = 7.265 Å, b = 7.265 Å, c = 4.828 Å
α = 90.00°, β = 90.00°, γ = 90.00°
Space group I-42d (No. 122)
Unique sites:
Li (0.244, 0.250, 0.125) (multiplicity 8)
Cu (0.000, 0.000, 0.500) (multiplicity 4)
As (0.000, 0.000, 0.000) (multiplicity 4)

Values from the calculation:
Its formation energy is -0.1220 eV/atom. For the raw total energy, the calculation gives -3.265 eV/atom. The value obtained for the magnetization is 0.000 μB per formula unit. For the density of states at the Fermi level, the calculation gives 0.096 states/eV per atom.

Entry 7:
Li3Cu5As2 | PBE | optimized geometry

a = 9.248 Å, b = 13.468 Å, c = 5.042 Å
α = 90.00°, β = 90.00°, γ = 90.00°
Space group Ibam (No. 72)
Unique sites:
Li (0.000, 0.000, 0.250) (multiplicity 4)
Li (0.222, 0.327, 0.000) (multiplicity 8)
Cu (0.000, 0.198, 0.250) (multiplicity 8)
Cu (0.000, 0.500, 0.250) (multiplicity 4)
Cu (0.068, 0.350, 0.500) (multiplicity 8)
As (0.183, 0.115, 0.000) (multiplicity 8)

Values from the calculation:
Its formation energy is -0.1508 eV/atom. For the raw total energy, the calculation gives -3.703 eV/atom. The value obtained for the magnetization is 0.000 μB per formula unit. For the density of states at the Fermi level, the calculation gives 0.347 states/eV per atom.

Entry 8:
Li3CuAs | PBE | optimized geometry

a = 4.737 Å, b = 4.737 Å, c = 4.737 Å
α = 90.00°, β = 90.00°, γ = 90.00°
Space group Pm-3m (No. 221)
Unique sites:
Li (0.000, 0.000, 0.500) (multiplicity 3)
Cu (0.500, 0.500, 0.500) (multiplicity 1)
As (0.000, 0.000, 0.000) (multiplicity 1)

Values from the calculation:
Its formation energy is -0.0027 eV/atom. For the raw total energy, the calculation gives -2.900 eV/atom. The value obtained for the magnetization is 0.000 μB per formula unit. The energy above the lowest structure with this stoichiometry comes out at 0.0 meV/atom. For the density of states at the Fermi level, the calculation gives 0.431 states/eV per atom.

Entry 9:
LiCuAs | PBE | optimized geometry

a = 4.1461 Å, b = 4.1461 Å, c = 3.0903 Å
α = 90.00°, β = 90.00°, γ = 120.00°
Space group P-6m2 (No. 187)
Unique sites:
Li (0.0000, 0.0000, 0.0000) (multiplicity 1)
Cu (0.6667, 0.3333, 0.5000) (multiplicity 1)
As (0.3333, 0.6667, 0.5000) (multiplicity 1)

Values from the calculation:
Its formation energy is -0.3540 eV/atom. For the raw total energy, the calculation gives -3.907 eV/atom. The value obtained for the magnetization is 0.000 μB per formula unit. For the density of states at the Fermi level, the calculation gives 0.163 states/eV per atom.

Entry 10:
LiCuAs | PBE | optimized geometry

a = 3.397 Å, b = 3.397 Å, c = 7.510 Å
α = 90.00°, β = 90.00°, γ = 90.00°
Space group I4mm (No. 107)
Unique sites:
Li (0.000, 0.000, 0.000) (multiplicity 2)
Cu (0.000, 0.000, 0.666) (multiplicity 2)
As (0.000, 0.000, 0.330) (multiplicity 2)

Values from the calculation:
Its formation energy is -0.2202 eV/atom. For the raw total energy, the calculation gives -3.773 eV/atom. The value obtained for the magnetization is 0.000 μB per formula unit. For the density of states at the Fermi level, the calculation gives 0.274 states/eV per atom.

Entry 11:
Li2CuAs | PBE | optimized geometry

a = 3.020 Å, b = 4.141 Å, c = 5.166 Å
α = 90.00°, β = 106.56°, γ = 90.00°
Space group Pm (No. 6)
Unique sites:
Li (0.000, 0.000, 0.000) (multiplicity 1)
Li (0.321, 0.500, 0.654) (multiplicity 1)
Cu (0.718, 0.000, 0.448) (multiplicity 1)
As (0.601, 0.500, 0.202) (multiplicity 1)

Values from the calculation:
Its formation energy is -0.3084 eV/atom. For the raw total energy, the calculation gives -3.452 eV/atom. The value obtained for the magnetization is 0.000 μB per formula unit. For the density of states at the Fermi level, the calculation gives 0.305 states/eV per atom.

Entry 12:
LiCuAs | PBE | optimized geometry

a = 2.863 Å, b = 2.863 Å, c = 11.195 Å
α = 90.00°, β = 90.00°, γ = 90.00°
Space group I4mm (No. 107)
Unique sites:
Li (0.000, 0.000, 0.000) (multiplicity 2)
Cu (0.000, 0.000, 0.332) (multiplicity 2)
As (0.000, 0.000, 0.677) (multiplicity 2)

Values from the calculation:
Its formation energy is -0.0469 eV/atom. For the raw total energy, the calculation gives -3.600 eV/atom. The value obtained for the magnetization is 0.000 μB per formula unit. For the density of states at the Fermi level, the calculation gives 0.284 states/eV per atom.

Q: Which value of magnetization does entry 4 give?
A: 0.961 μB per formula unit